# HgBiCl3, relaxed, DFT PBE
# ΔE to the lowest computed polymorph = 672 meV/atom
# crystal system = cubic
# uncorrected formation energy = -0.0895 eV/atom
data_HgBiCl3
_chemical_formula_sum 'Hg1 Bi1 Cl3'
_space_group_name_H-M_alt 'P m -3 m'
_space_group_IT_number 221
_space_group_name_Hall '-P 4 2 3'
_cell_length_a 5.316
_cell_length_b 5.316
_cell_length_c 5.316
_cell_angle_alpha 90.00
_cell_angle_beta 90.00
_cell_angle_gamma 90.00
loop_
_atom_site_label
_atom_site_fract_x
_atom_site_fract_y
_atom_site_fract_z
Hg1 0.000 0.000 0.000
Bi1 0.500 0.500 0.500
Cl1 0.000 0.000 0.500

***

# HgBiCl, relaxed, DFT PBE
# ΔE to the lowest computed polymorph = 209 meV/atom
# crystal system = trigonal
# uncorrected formation energy = -0.1491 eV/atom
data_HgBiCl
_chemical_formula_sum 'Hg1 Bi1 Cl1'
_space_group_name_H-M_alt 'P 3 m 1'
_space_group_IT_number 156
_cell_length_a 5.1972
_cell_length_b 5.1972
_cell_length_c 3.4548
_cell_angle_alpha 90.00
_cell_angle_beta 90.00
_cell_angle_gamma 120.00
loop_
_space_group_symop_operation_xyz
'x,y,z'
'-y,x-y,z'
'-x+y,-x,z'
'-y,-x,z'
'-x+y,y,z'
'x,x-y,z'
loop_
_atom_site_label
_atom_site_fract_x
_atom_site_fract_y
_atom_site_fract_z
Hg1 0.0000 0.0000 0.0000
Bi1 0.6667 0.3333 0.5334
Cl1 0.3333 0.6667 0.5125

***

# HgBiCl3, relaxed, DFT PBE
# ΔE to the lowest computed polymorph = 327 meV/atom
# crystal system = tetragonal
# uncorrected formation energy = -0.4343 eV/atom
data_HgBiCl3
_chemical_formula_sum 'Hg4 Bi4 Cl12'
_space_group_name_H-M_alt 'I -4 m 2'
_space_group_IT_number 119
_space_group_name_Hall 'I -4 -2'
_cell_length_a 6.106
_cell_length_b 6.106
_cell_length_c 18.070
_cell_angle_alpha 90.00
_cell_angle_beta 90.00
_cell_angle_gamma 90.00
loop_
_atom_site_label
_atom_site_fract_x
_atom_site_fract_y
_atom_site_fract_z
Hg1 0.000 0.000 0.173
Bi1 0.000 0.000 0.500
Bi2 0.000 0.500 0.250
Cl1 0.000 0.242 0.368
Cl2 0.000 0.500 0.542

***

# HgBiCl3, relaxed, DFT PBE
# ΔE to the lowest computed polymorph = 78 meV/atom
# crystal system = trigonal
# uncorrected formation energy = -0.6835 eV/atom
data_HgBiCl3
_chemical_formula_sum 'Hg3 Bi3 Cl9'
_space_group_name_H-M_alt 'R 3 m'
_space_group_IT_number 160
_space_group_name_Hall 'R 3 -2"'
_cell_length_a 7.8986
_cell_length_b 7.8986
_cell_length_c 10.1079
_cell_angle_alpha 90.00
_cell_angle_beta 90.00
_cell_angle_gamma 120.00
loop_
_atom_site_label
_atom_site_fract_x
_atom_site_fract_y
_atom_site_fract_z
Hg1 0.0000 0.0000 0.0000
Bi1 0.0000 0.0000 0.4666
Cl1 0.0136 0.5068 0.0076

***

Question: Look up the ΔE to the lowest computed polymorph of the fourth one.
Answer: 78 meV/atom